Record 1
A relaxed structure of NaPr5Te6. Source: the Open Quantum Materials Database, functional GGA-PBE.

Cell lengths 7.829, 13.567, 7.865 Å; angles 90.00, 109.46, 90.00 degrees
Space group C2/m (No. 12)
One atom of each set of equivalent atoms:
Na1 0.000 0.000 0.000 x2
Pr1 0.000 0.166 0.500 x4
Pr2 0.000 0.335 0.000 x4
Pr3 0.000 0.500 0.500 x2
Te1 0.246 0.000 0.755 x4
Te2 0.247 0.165 0.248 x8

Electronic total energy: -5.088 eV/atom



Record 2
A relaxed structure of NaPr3Te4. Source: the Open Quantum Materials Database, functional GGA-PBE.

Cell lengths 9.123, 12.817, 4.509 Å; angles 90.00, 90.00, 90.00 degrees
Space group Cmmm (No. 65)
One atom of each set of equivalent atoms:
Na1 0.000 0.000 0.000 x2
Pr1 0.000 0.500 0.000 x2
Pr2 0.250 0.250 0.500 x4
Te1 0.000 0.248 0.000 x4
Te2 0.248 0.000 0.500 x4

Electronic total energy: -4.925 eV/atom



Record 3
A relaxed structure of NaPrZnTe3. Source: the Open Quantum Materials Database, functional GGA-PBE.

Cell lengths 9.082, 4.429, 10.291 Å; angles 90.00, 103.26, 90.00 degrees
Space group P2_1/m (No. 11)
One atom of each set of equivalent atoms:
Na1 0.199 0.250 0.217 x2
Pr1 0.322 0.750 0.853 x2
Zn1 0.085 0.250 0.600 x2
Te1 0.070 0.250 0.856 x2
Te2 0.222 0.750 0.522 x2
Te3 0.436 0.750 0.171 x2

ΔE to the lowest computed polymorph: 11 meV/atom
Electronic total energy: -3.781 eV/atom



Record 4
A relaxed structure of NaPrZnTe3. Source: the Open Quantum Materials Database, functional GGA-PBE.

Cell lengths 4.394, 14.727, 11.978 Å; angles 90.00, 90.00, 90.00 degrees
Space group Cmcm (No. 63)
One atom of each set of equivalent atoms:
Na1 0.000 0.236 0.250 x4
Pr1 0.000 0.000 0.000 x4
Zn1 0.000 0.469 0.750 x4
Te1 0.000 0.084 0.750 x4
Te2 0.000 0.357 0.575 x8

ΔE to the lowest computed polymorph: 0 meV/atom
Electronic total energy: -3.792 eV/atom



Record 5
A relaxed structure of NaPrZnTe3. Source: the Open Quantum Materials Database, functional GGA-PBE.

Cell lengths 12.618, 4.471, 13.115 Å; angles 90.00, 90.00, 90.00 degrees
Space group Pnma (No. 62)
One atom of each set of equivalent atoms:
Na1 0.187 0.250 0.010 x4
Pr1 0.031 0.250 0.316 x4
Zn1 0.248 0.750 0.208 x4
Te1 0.051 0.750 0.140 x4
Te2 0.104 0.250 0.563 x4
Te3 0.209 0.750 0.820 x4

ΔE to the lowest computed polymorph: 15 meV/atom
Electronic total energy: -3.777 eV/atom



Record 6
A relaxed structure of NaPrTl2. Source: the Open Quantum Materials Database, functional GGA-PBE.

Cell lengths 5.381, 5.381, 4.012 Å; angles 90.00, 90.00, 90.00 degrees
Space group P4/mmm (No. 123)
One atom of each set of equivalent atoms:
Na1 0.000 0.000 0.000 x1
Pr1 0.500 0.500 0.000 x1
Tl1 0.000 0.500 0.500 x2

Electronic total energy: -2.986 eV/atom